Record 1
Material: ScZn2Cu6
Method: DFT, PBE-GGA
State: relaxed

Cell: 7.455 7.455 7.455 Å, 159.24 121.26 63.00°
Fractional coordinates of all 9 atoms:
Sc 0.000 0.000 0.000
Zn 0.348 0.848 0.500
Zn 0.652 0.152 0.500
Cu 0.003 0.326 0.677
Cu 0.333 0.500 0.833
Cu 0.350 0.674 0.677
Cu 0.650 0.326 0.323
Cu 0.667 0.500 0.167
Cu 0.997 0.674 0.323

Output
As for the total energy: -3.725 eV per atom. Its calculated formation energy is -8 meV/atom.

---

Record 2
Material: Sc6Zn3Cu
Method: DFT, PBE-GGA
State: relaxed

Cell: 8.347 4.750 10.561 Å, 90.00 109.78 90.00°
Fractional coordinates of all 20 atoms:
Sc 0.024 0.250 0.406
Sc 0.162 0.750 0.174
Sc 0.252 0.250 0.006
Sc 0.355 0.750 0.831
Sc 0.375 0.250 0.344
Sc 0.383 0.250 0.633
Sc 0.617 0.750 0.367
Sc 0.625 0.750 0.656
Sc 0.645 0.250 0.169
Sc 0.748 0.750 0.994
Sc 0.838 0.250 0.826
Sc 0.976 0.750 0.594
Zn 0.030 0.750 0.876
Zn 0.107 0.250 0.722
Zn 0.267 0.750 0.472
Zn 0.733 0.250 0.528
Zn 0.893 0.750 0.278
Zn 0.970 0.250 0.124
Cu 0.443 0.750 0.109
Cu 0.557 0.250 0.891

Output
As for the total energy: -4.830 eV per atom. Its calculated formation energy is -239 meV/atom.

---

Record 3
Material: Sc3ZnCu8
Method: DFT, PBE-GGA
State: relaxed

Cell: 8.660 8.660 8.660 Å, 33.46 33.46 33.46°
Fractional coordinates of all 12 atoms:
Sc 0.000 0.000 0.000
Sc 0.126 0.126 0.126
Sc 0.613 0.613 0.613
Zn 0.491 0.491 0.491
Cu 0.056 0.056 0.561
Cu 0.056 0.561 0.056
Cu 0.058 0.558 0.558
Cu 0.307 0.307 0.307
Cu 0.558 0.058 0.558
Cu 0.558 0.558 0.058
Cu 0.561 0.056 0.056
Cu 0.808 0.808 0.808

Output
As for the total energy: -4.635 eV per atom. Its calculated formation energy is -215 meV/atom.

---

Record 4
Material: Sc2Zn16Cu
Method: DFT, PBE-GGA
State: relaxed

Cell: 6.700 6.700 6.700 Å, 82.39 82.39 82.39°
Fractional coordinates of all 19 atoms:
Sc 0.000 0.000 0.000
Sc 0.337 0.337 0.337
Zn 0.024 0.024 0.503
Zn 0.024 0.503 0.024
Zn 0.172 0.665 0.665
Zn 0.314 0.314 0.824
Zn 0.314 0.824 0.314
Zn 0.367 0.667 0.966
Zn 0.367 0.966 0.667
Zn 0.503 0.024 0.024
Zn 0.665 0.172 0.665
Zn 0.665 0.665 0.172
Zn 0.667 0.367 0.966
Zn 0.667 0.966 0.367
Zn 0.768 0.768 0.768
Zn 0.824 0.314 0.314
Zn 0.966 0.367 0.667
Zn 0.966 0.667 0.367
Cu 0.567 0.567 0.567

Output
As for the total energy: -2.122 eV per atom. Its calculated formation energy is -168 meV/atom.

---

Record 5
Material: Sc2Zn4Cu5
Method: DFT, PBE-GGA
State: relaxed

Cell: 9.044 8.414 4.932 Å, 80.76 66.67 32.57°
Fractional coordinates of all 11 atoms:
Sc 0.118 0.118 0.882
Sc 0.882 0.882 0.118
Zn 0.212 0.528 0.472
Zn 0.472 0.788 0.212
Zn 0.528 0.212 0.788
Zn 0.788 0.472 0.528
Cu 0.000 0.000 0.500
Cu 0.250 0.250 0.250
Cu 0.500 0.500 0.000
Cu 0.500 0.500 0.500
Cu 0.750 0.750 0.750

Output
As for the total energy: -3.611 eV per atom. Its calculated formation energy is -135 meV/atom.

---

Record 6
Material: ScZn4Cu
Method: DFT, PBE-GGA
State: relaxed

Cell: 5.109 5.109 5.109 Å, 60.00 60.00 60.00°
Fractional coordinates of all 6 atoms:
Sc 0.000 0.000 0.000
Zn 0.125 0.625 0.625
Zn 0.625 0.125 0.625
Zn 0.625 0.625 0.125
Zn 0.625 0.625 0.625
Cu 0.250 0.250 0.250

Output
As for the total energy: -2.693 eV per atom. Its calculated formation energy is -106 meV/atom. For the distance to the lowest polymorph of the same formula, the calculation gives 0.62 eV per formula unit.

---

Record 7
Material: ScZnCu2
Method: DFT, PBE-GGA
State: relaxed

Cell: 3.942 3.942 17.532 Å, 90.00 90.00 90.00°
Fractional coordinates of all 16 atoms:
Sc 0.000 0.000 0.000
Sc 0.000 0.500 0.250
Sc 0.500 0.000 0.750
Sc 0.500 0.500 0.500
Zn 0.000 0.000 0.500
Zn 0.000 0.500 0.750
Zn 0.500 0.000 0.250
Zn 0.500 0.500 0.000
Cu 0.189 0.250 0.625
Cu 0.250 0.689 0.875
Cu 0.250 0.811 0.375
Cu 0.311 0.250 0.125
Cu 0.689 0.750 0.125
Cu 0.750 0.189 0.375
Cu 0.750 0.311 0.875
Cu 0.811 0.750 0.625

Output
As for the total energy: -3.817 eV per atom. Its calculated formation energy is 133 meV/atom.

---

Record 8
Material: ScZn6Cu
Method: DFT, PBE-GGA
State: relaxed

Cell: 3.930 3.930 8.669 Å, 90.00 90.00 90.00°
Fractional coordinates of all 8 atoms:
Sc 0.000 0.000 0.000
Zn 0.000 0.500 0.324
Zn 0.000 0.500 0.676
Zn 0.500 0.000 0.324
Zn 0.500 0.000 0.676
Zn 0.500 0.500 0.136
Zn 0.500 0.500 0.864
Cu 0.000 0.000 0.500

Output
As for the total energy: -2.334 eV per atom. Its calculated formation energy is -75 meV/atom.

---

Record 9
Material: ScZnCu2
Method: DFT, PBE-GGA
State: relaxed

Cell: 3.080 3.228 6.133 Å, 90.00 90.00 90.00°
Fractional coordinates of all 4 atoms:
Sc 0.000 0.000 0.000
Zn 0.500 0.500 0.692
Cu 0.000 0.000 0.480
Cu 0.500 0.500 0.267

Output
As for the total energy: -4.112 eV per atom. Its calculated formation energy is -163 meV/atom.

---

Record 10
Material: Sc4ZnCu
Method: DFT, PBE-GGA
State: relaxed

Cell: 3.258 3.258 11.613 Å, 90.00 90.00 90.00°
Fractional coordinates of all 6 atoms:
Sc 0.000 0.000 0.140
Sc 0.000 0.000 0.860
Sc 0.500 0.500 0.350
Sc 0.500 0.500 0.650
Zn 0.000 0.000 0.500
Cu 0.500 0.500 0.000

Output
As for the total energy: -5.299 eV per atom. Its calculated formation energy is -183 meV/atom. For the distance to the lowest polymorph of the same formula, the calculation gives 0.00 eV per formula unit.

---

Record 11
Material: ScZn4Cu
Method: DFT, PBE-GGA
State: relaxed

Cell: 7.529 3.780 6.712 Å, 90.00 90.00 90.00°
Fractional coordinates of all 12 atoms:
Sc 0.250 0.000 0.119
Sc 0.750 0.000 0.881
Zn 0.000 0.000 0.500
Zn 0.048 0.500 0.815
Zn 0.250 0.500 0.440
Zn 0.452 0.500 0.815
Zn 0.500 0.000 0.500
Zn 0.548 0.500 0.185
Zn 0.750 0.500 0.560
Zn 0.952 0.500 0.185
Cu 0.250 0.000 0.718
Cu 0.750 0.000 0.282

Output
As for the total energy: -2.797 eV per atom. Its calculated formation energy is -210 meV/atom. For the distance to the lowest polymorph of the same formula, the calculation gives 0.00 eV per formula unit.

---

Record 12
Material: Sc2ZnCu
Method: DFT, PBE-GGA
State: relaxed

Cell: 3.356 3.356 6.548 Å, 90.00 90.00 90.00°
Fractional coordinates of all 4 atoms:
Sc 0.000 0.000 0.000
Sc 0.500 0.500 0.324
Zn 0.000 0.000 0.567
Cu 0.500 0.500 0.766

Output
As for the total energy: -4.680 eV per atom. Its calculated formation energy is -172 meV/atom.